No. 1
BaScCu2: optimized geometry, GGA-PBE.

Cell and atoms, written as POSCAR:
```
BaScCu2
1.0
5.2018 -0.0684 -0.0046
-0.0579 5.2020 0.0046
-2.1571 -2.9825 3.6763
Cu Sc Ba
2 1 1
direct
0.5586 0.5586 0.0000
0.9414 0.9414 0.0000
0.7500 0.2500 0.5000
0.2500 0.7500 0.5000
```

Results
Its space-group type is Immm, No. 71. As for the calculated total energy: -15.7 eV per cell. The value obtained for the energy relative to the lowest polymorph listed for this composition is 0.229 eV per atom. The value obtained for the energy of formation is 0.19 eV per atom.

***

No. 2
KSc2Hg: optimized geometry, GGA-PBE.

Cell and atoms, written as POSCAR:
```
KSc2Hg
1.0
-7.4129 2.2562 -8.5221
-4.6919 1.2577 -10.4437
-6.8844 -1.1201 -9.1661
K Sc Hg
1 2 1
direct
0.7500 0.7500 0.7500
0.9824 0.9824 0.9824
0.5176 0.5176 0.5176
0.2500 0.2500 0.2500
```

Results
Its space-group type is R-3m, No. 166. As for the calculated total energy: -13.3 eV per cell. The value obtained for the energy of formation is 0.18 eV per atom.

***

No. 3
KNpHg2Br6: optimized geometry, GGA-PBE.

Cell and atoms, written as POSCAR:
```
KNpHg2Br6
1.0
8.6239 0.0000 0.0000
0.0000 8.4590 0.0000
0.0000 0.0000 12.0593
Br Np Hg K
12 2 4 2
direct
0.7207 0.0113 0.5000
0.0000 0.7647 0.2231
0.7799 0.5388 0.0000
0.2201 0.5388 0.0000
0.7793 0.9887 0.0000
0.2793 0.0113 0.5000
0.5000 0.2353 0.7231
0.2799 0.4612 0.5000
0.7201 0.4612 0.5000
0.5000 0.2353 0.2769
0.2207 0.9887 0.0000
0.0000 0.7647 0.7769
0.0000 0.7641 0.0000
0.5000 0.2359 0.5000
0.0000 0.2610 0.7468
0.5000 0.7390 0.7532
0.0000 0.2610 0.2532
0.5000 0.7390 0.2468
0.0000 0.7342 0.5000
0.5000 0.2658 0.0000
```

Results
Its space-group type is Pmmn, No. 59. Its energy relative to the elements, uncorrected is -932.7 kJ/mol of formula units. As for the calculated total energy: -68.7 eV per cell.

***

No. 4
TbSm2Dy3P6: optimized geometry, GGA-PBE.

Cell and atoms, written as POSCAR:
```
TbSm2Dy3P6
1.0
7.0053 -0.0006 0.0013
-3.5015 6.0675 0.0013
-1.1679 -2.0222 6.6045
Sm Dy P Tb
2 3 6 1
direct
0.3335 0.6665 0.0000
0.6665 0.3335 0.0000
0.8329 0.1671 0.5000
0.5000 0.5000 0.5000
0.1671 0.8329 0.5000
0.9153 0.5844 0.7456
0.4156 0.0847 0.2544
0.0847 0.4156 0.2544
0.2458 0.2458 0.7452
0.7542 0.7542 0.2548
0.5844 0.9153 0.7456
0.0000 0.0000 0.0000
```

Results
Its space-group type is C2/m, No. 12. As for the calculated total energy: -79.5 eV per cell. The value obtained for the energy of formation is -1.60 eV per atom.

***

No. 5
Tl2MoRu: optimized geometry, GGA-PBE.

Cell and atoms, written as POSCAR:
```
Tl2MoRu
1.0
-3.4951 -2.8459 -1.0859
1.9717 -2.3374 -0.2202
-0.4450 -1.4386 5.2022
Mo Tl Ru
1 2 1
direct
0.5000 0.2500 0.2500
0.0000 0.5257 0.5041
0.0000 0.9743 0.9959
0.5000 0.7500 0.7500
```

Results
Its space-group type is P2/m, No. 10. As for the calculated total energy: -21.5 eV per cell. The value obtained for the energy relative to the lowest polymorph listed for this composition is 0.499 eV per atom. The value obtained for the energy of formation is 0.83 eV per atom.

***

No. 6
PuNiIr2: optimized geometry, GGA-PBE.

Cell and atoms, written as POSCAR:
```
PuNiIr2
1.0
-0.3402 -3.8458 -0.6783
3.0457 -0.7198 2.5536
-2.6298 -0.3054 3.0506
Pu Ir Ni
1 2 1
direct
0.5000 0.0000 0.0000
0.0000 0.0000 0.5000
0.0000 0.5000 0.0000
0.5000 0.5000 0.5000
```

Results
Its space-group type is P4/mmm, No. 123. As for the calculated total energy: -38.9 eV per cell. The value obtained for the energy of formation is -0.28 eV per atom.

***

No. 7
ScFeHg2: optimized geometry, GGA-PBE.

Cell and atoms, written as POSCAR:
```
ScFeHg2
1.0
-1.4727 -4.4916 -0.6317
-1.0982 -2.7022 3.7729
-4.5447 -1.1623 0.8586
Sc Hg Fe
1 2 1
direct
0.7500 0.7500 0.7500
0.0000 0.0000 0.0000
0.2500 0.2500 0.2500
0.5000 0.5000 0.5000
```

Results
Its space-group type is F-43m, No. 216. As for the calculated total energy: -14.9 eV per cell. The value obtained for the energy of formation is 0.13 eV per atom.

***

No. 8
NbSiSbCl2: optimized geometry, GGA-PBE.

Cell and atoms, written as POSCAR:
```
NbSiSbCl2
1.0
-4.6049 0.9345 0.2051
-1.1673 -5.2322 -2.3690
-0.1947 -1.9022 4.2970
Nb Cl Sb Si
1 2 1 1
direct
0.0000 0.0000 0.0000
0.5000 0.0000 0.0000
0.0000 0.0000 0.5000
0.0000 0.5000 0.0000
0.5000 0.5000 0.5000
```

Results
Its space-group type is P4/mmm, No. 123. Its energy relative to the elements, uncorrected is 66.8 kJ/mol of formula units. As for the calculated total energy: -22.6 eV per cell.

***

No. 9
YWC2Br: optimized geometry, GGA-PBE.

Cell and atoms, written as POSCAR:
```
YWC2Br
1.0
4.1191 0.0000 0.0000
0.0000 5.1107 0.0000
0.0000 0.0000 4.1191
C W Br Y
2 1 1 1
direct
0.5000 0.0000 0.0000
0.0000 0.0000 0.5000
0.0000 0.0000 0.0000
0.0000 0.5000 0.0000
0.5000 0.5000 0.5000
```

Results
Its space-group type is P4/mmm, No. 123. Its energy relative to the elements, uncorrected is 364.0 kJ/mol of formula units. As for the calculated total energy: -35.8 eV per cell.

***

No. 10
GeB: optimized geometry, GGA-PBE.

Cell and atoms, written as POSCAR:
```
GeB
1.0
-4.9481 -0.5807 -4.3810
-4.1440 -1.6750 4.9026
-1.5352 6.3931 0.8865
Ge B
8 8
direct
0.6639 0.3361 0.6639
0.6639 0.6639 0.3361
0.3361 0.3361 0.3361
0.3361 0.6639 0.6639
0.8361 0.8361 0.8361
0.1639 0.1639 0.8361
0.1639 0.8361 0.1639
0.8361 0.1639 0.1639
0.6611 0.3389 0.3389
0.1611 0.1611 0.1611
0.6611 0.6611 0.6611
0.8389 0.8389 0.1611
0.1611 0.8389 0.8389
0.3389 0.6611 0.3389
0.3389 0.3389 0.6611
0.8389 0.1611 0.8389
```

Results
Its space-group type is I-43m, No. 217. As for the calculated total energy: -77.9 eV per cell. The value obtained for the energy relative to the lowest polymorph listed for this composition is 0.404 eV per atom. The value obtained for the energy of formation is 0.78 eV per atom.

***

No. 11
ZnCu2Rh: optimized geometry, GGA-PBE.

Cell and atoms, written as POSCAR:
```
ZnCu2Rh
1.0
8.6810 0.0076 0.0044
8.2675 2.6473 0.0044
8.2675 1.2950 2.3089
Cu Zn Rh
2 1 1
direct
0.0012 0.0012 0.0012
0.4988 0.4988 0.4988
0.7500 0.7500 0.7500
0.2500 0.2500 0.2500
```

Results
Its space-group type is R-3m, No. 166. As for the calculated total energy: -16.9 eV per cell. The value obtained for the energy of formation is -0.03 eV per atom.

***

No. 12
Ce2PrP2N6: optimized geometry, GGA-PBE.

Cell and atoms, written as POSCAR:
```
Ce2PrP2N6
1.0
-5.4062 -2.3746 -1.1775
4.9769 -3.2847 -0.8325
-0.3542 -1.9410 5.5407
N P Pr Ce
6 2 1 2
direct
0.0826 0.4010 0.2003
0.6816 0.0826 0.7997
0.3184 0.9174 0.2003
0.5990 0.6816 0.2003
0.9174 0.5990 0.7997
0.4010 0.3184 0.7997
0.6667 0.3333 0.6952
0.3333 0.6667 0.3048
0.0000 0.0000 0.0000
0.6667 0.3333 0.1691
0.3333 0.6667 0.8309
```

Results
Its space-group type is P-3, No. 147. Its energy relative to the elements, uncorrected is -915.1 kJ/mol of formula units. As for the calculated total energy: -86.9 eV per cell.

***

No. 13
Er2Al5Co3: optimized geometry, GGA-PBE.

Cell and atoms, written as POSCAR:
```
Er2Al5Co3
1.0
-3.8801 -1.0559 -0.4905
1.5072 -6.2790 1.5945
-0.2037 2.9794 11.9253
Al Er Co
10 4 6
direct
0.9447 0.1213 0.8895
0.2922 0.8890 0.5845
0.7130 0.9998 0.4260
0.1312 0.2344 0.2623
0.4038 0.4039 0.8076
0.0553 0.6213 0.1105
0.2870 0.4998 0.5740
0.7078 0.3890 0.4155
0.8688 0.7344 0.7377
0.5962 0.9039 0.1924
0.8245 0.2033 0.6490
0.4732 0.7888 0.9464
0.1755 0.7033 0.3510
0.5268 0.2888 0.0536
0.9542 0.4992 0.9084
0.3885 0.0330 0.7770
0.7681 0.6922 0.5362
0.2319 0.1922 0.4638
0.6115 0.5330 0.2230
0.0458 0.9992 0.0916
```

Results
Its space-group type is Cmc2_1, No. 36. As for the calculated total energy: -107.4 eV per cell. The value obtained for the energy of formation is -0.46 eV per atom.

***

No. 14
NaNiHPt2: optimized geometry, GGA-PBE.

Cell and atoms, written as POSCAR:
```
NaNiHPt2
1.0
4.0160 0.0000 0.0000
0.0000 4.0160 0.0000
0.0000 0.0000 3.9157
H Pt Na Ni
1 2 1 1
direct
0.0000 0.0000 0.0000
0.5000 0.0000 0.0000
0.0000 0.5000 0.0000
0.5000 0.5000 0.5000
0.0000 0.0000 0.5000
```

Results
Its space-group type is P4/mmm, No. 123. As for the calculated total energy: -22.3 eV per cell.

***

No. 15
Si2AgSn: optimized geometry, GGA-PBE.

Cell and atoms, written as POSCAR:
```
Si2AgSn
1.0
-1.7978 2.6598 2.6316
2.2083 -1.6026 3.1284
7.0991 6.8162 1.2346
Ag Sn Si
2 2 4
direct
0.5000 0.5000 0.0000
0.2500 0.7500 0.5000
0.0000 0.0000 0.0000
0.7500 0.2500 0.5000
0.2046 0.6250 0.2500
0.8750 0.7954 0.7500
0.5454 0.1250 0.2500
0.3750 0.4546 0.7500
```

Results
Its space-group type is I-42d, No. 122. Its energy relative to the elements, uncorrected is 141.4 kJ/mol of formula units. As for the calculated total energy: -32.5 eV per cell.

***

No. 16
Tb6Pm3PrSm2: optimized geometry, GGA-PBE.

Cell and atoms, written as POSCAR:
```
Tb6Pm3PrSm2
1.0
-5.2648 3.3592 -0.3626
-0.2612 -6.2484 -0.1505
0.8790 0.7195 11.8544
Tb Pr Sm Pm
6 1 2 3
direct
0.5827 0.9164 0.7498
0.2503 0.2503 0.7499
0.7497 0.7497 0.2501
0.4173 0.0836 0.2502
0.9164 0.5827 0.7498
0.0836 0.4173 0.2502
0.0000 0.0000 0.0000
0.6667 0.3333 0.0000
0.3333 0.6667 0.0000
0.8333 0.1667 0.5000
0.5000 0.5000 0.5000
0.1667 0.8333 0.5000
```

Results
Its space-group type is C2/m, No. 12. As for the calculated total energy: -56.1 eV per cell. The value obtained for the energy of formation is 0.01 eV per atom.

***

No. 17
KBeCr2: optimized geometry, GGA-PBE.

Cell and atoms, written as POSCAR:
```
KBeCr2
1.0
10.0705 -0.0057 -0.0033
9.7355 2.5760 -0.0033
9.7355 1.2634 2.2449
K Cr Be
1 2 1
direct
0.2500 0.2500 0.2500
0.0176 0.0176 0.0176
0.4824 0.4824 0.4824
0.7500 0.7500 0.7500
```

Results
Its space-group type is R-3m, No. 166. As for the calculated total energy: -19.3 eV per cell. The value obtained for the energy of formation is 1.18 eV per atom.

***

No. 18
Ce6Ga3Pt: optimized geometry, GGA-PBE.

Cell and atoms, written as POSCAR:
```
Ce6Ga3Pt
1.0
-4.0556 -3.6497 -0.1309
0.2064 0.0669 -8.2584
7.1082 -8.2689 0.1107
Ga Ce Pt
6 12 2
direct
0.1583 0.6372 0.2442
0.8417 0.3628 0.7558
0.5000 0.5000 0.0000
0.3417 0.1372 0.2558
0.6583 0.8628 0.7442
0.0000 0.0000 0.5000
0.8332 0.9525 0.2448
0.5057 0.1511 0.5769
0.4943 0.8489 0.4231
0.5218 0.1438 0.9261
0.0218 0.3562 0.4261
0.9782 0.6438 0.5739
0.9943 0.6511 0.9231
0.0057 0.3489 0.0769
0.4782 0.8562 0.0739
0.6668 0.4525 0.2552
0.3332 0.5475 0.7448
0.1668 0.0475 0.7552
0.5000 0.5000 0.5000
0.0000 0.0000 0.0000
```

Results
Its space-group type is P2_1/c, No. 14. As for the calculated total energy: -109.9 eV per cell. The value obtained for the energy of formation is -0.42 eV per atom.

***

No. 19
Hf2NbZn: optimized geometry, GGA-PBE.

Cell and atoms, written as POSCAR:
```
Hf2NbZn
1.0
-2.2079 0.9352 3.2763
-1.6228 -4.0222 0.0545
3.2584 -1.2799 2.5611
Zn Nb Hf
1 1 2
direct
0.5000 0.0000 0.0000
0.5000 0.5000 0.5000
0.0000 0.0000 0.5000
0.0000 0.5000 0.0000
```

Results
Its space-group type is P4/mmm, No. 123. As for the calculated total energy: -31.5 eV per cell. The value obtained for the energy of formation is -0.06 eV per atom.

***

No. 20
CaReCl: optimized geometry, GGA-PBE.

Cell and atoms, written as POSCAR:
```
CaReCl
1.0
5.0622 0.0000 0.0000
2.5311 4.3840 0.0000
2.5311 1.4613 4.1332
Cl Re Ca
1 1 1
direct
0.0000 0.0000 0.0000
0.5000 0.5000 0.5000
0.2500 0.2500 0.2500
```

Results
Its space-group type is F-43m, No. 216. Its energy relative to the elements, uncorrected is 333.9 kJ/mol of formula units. As for the calculated total energy: -12.8 eV per cell. The value obtained for the energy relative to the lowest polymorph listed for this composition is 0.859 eV per atom.